Record 1
DFT (PBE) results for a geometry-optimized Ba2NaSnAu6 structure.

Space group = Fm-3m
Volume = 300.63 Å³/f.u.
Total magnetic moment = 0.00 Bohr magnetons per cell
DOS at the Fermi energy = 3.40 states/eV/f.u.
Formation enthalpy at 0 K = -0.2344 eV/atom
Total energy = -31.18 eV/f.u.

Geometry as POSCAR:
```
Ba2NaSnAu6
1.0
0.0000 5.3170 5.3170
5.3170 0.0000 5.3170
5.3170 5.3170 0.0000
Ba Na Sn Au
2 1 1 6
direct
0.2500 0.2500 0.2500 Ba
0.7500 0.7500 0.7500 Ba
0.0000 0.0000 0.0000 Na
0.5000 0.5000 0.5000 Sn
0.2484 0.2484 0.7516 Au
0.2484 0.7516 0.2484 Au
0.2484 0.7516 0.7516 Au
0.7516 0.2484 0.2484 Au
0.7516 0.2484 0.7516 Au
0.7516 0.7516 0.2484 Au
```

***

Record 2
DFT (PBE) results for a geometry-optimized BaNaSn2Au4 structure.

Space group = R-3m
Volume = 195.99 Å³/f.u.
Total magnetic moment = 0.00 Bohr magnetons per cell
DOS at the Fermi energy = 3.57 states/eV/f.u.
Formation enthalpy at 0 K = -0.4128 eV/atom
Total energy = -27.66 eV/f.u.

Geometry as POSCAR:
```
BaNaSn2Au4
1.0
2.4302 1.4031 9.5802
-2.4302 1.4031 9.5802
0.0000 -2.8061 9.5802
Ba Na Sn Au
1 1 2 4
direct
0.0000 0.0000 0.0000 Ba
0.5000 0.5000 0.5000 Na
0.2372 0.2372 0.2372 Sn
0.7628 0.7628 0.7628 Sn
0.1351 0.1351 0.1351 Au
0.4001 0.4001 0.4001 Au
0.5999 0.5999 0.5999 Au
0.8649 0.8649 0.8649 Au
```

***

- What is the total energy in the second record?
  -27.66 eV/f.u.